No. 1
A geometry-optimized CdReTe2 structure, computed with PBE.

a = 3.189 Å, b = 4.774 Å, c = 7.318 Å
α = 71.00°, β = 90.00°, γ = 90.00°
Fractional positions:
Re1 0.500 0.983 0.659
Te1 0.000 0.834 0.958
Te2 0.500 0.174 0.275
Cd1 0.000 0.509 0.607

SG: Amm2 (38)
Calculated density: 8.7 g/cm3
Formation energy without anion corrections: 0.37 eV/atom


No. 2
A geometry-optimized Cd4ReTe structure, computed with PBE.

a = 5.626 Å, b = 5.626 Å, c = 5.626 Å
α = 60.00°, β = 60.00°, γ = 60.00°
Fractional positions:
Cd1 0.128 0.624 0.624
Cd2 0.624 0.624 0.624
Cd3 0.624 0.128 0.624
Cd4 0.624 0.624 0.128
Re1 0.250 0.250 0.250
Te1 0.000 0.000 0.000

SG: F-43m (216)
Calculated density: 10.1 g/cm3
Formation energy without anion corrections: 0.75 eV/atom


No. 3
A geometry-optimized CdReTe2 structure, computed with PBE.

a = 5.538 Å, b = 5.538 Å, c = 6.941 Å
α = 66.56°, β = 66.56°, γ = 35.17°
Fractional positions:
Re1 0.264 0.264 0.378
Te1 0.927 0.927 0.081
Te2 0.761 0.761 0.675
Cd1 0.548 0.548 0.367

SG: Cm (8)
Calculated density: 8.3 g/cm3
Formation energy without anion corrections: 0.30 eV/atom


No. 4
A geometry-optimized CdReTe2 structure, computed with PBE.

a = 4.068 Å, b = 4.068 Å, c = 8.466 Å
α = 86.21°, β = 86.21°, γ = 49.05°
Fractional positions:
Re1 0.250 0.250 0.250
Te1 0.963 0.963 0.068
Te2 0.537 0.537 0.432
Cd1 0.750 0.750 0.750

SG: C2/m (12)
Calculated density: 8.7 g/cm3
Formation energy without anion corrections: 0.28 eV/atom


No. 5
A geometry-optimized CdReTe2 structure, computed with PBE.

a = 6.510 Å, b = 6.510 Å, c = 7.547 Å
α = 64.45°, β = 64.45°, γ = 90.00°
Fractional positions:
Re1 0.000 0.000 0.000
Re2 0.750 0.250 0.500
Te1 0.671 0.125 0.250
Te2 0.079 0.625 0.250
Te3 0.375 0.329 0.750
Te4 0.875 0.921 0.750
Cd1 0.500 0.500 0.000
Cd2 0.250 0.750 0.500

SG: I-42d (122)
Calculated density: 7.3 g/cm3
Formation energy without anion corrections: 0.48 eV/atom


No. 6
A geometry-optimized Cd2ReTe structure, computed with PBE.

a = 7.316 Å, b = 7.316 Å, c = 4.408 Å
α = 72.48°, β = 72.48°, γ = 24.16°
Fractional positions:
Re1 0.750 0.750 0.750
Te1 0.250 0.250 0.250
Cd1 0.059 0.059 0.941
Cd2 0.441 0.441 0.559

SG: Immm (71)
Calculated density: 9.7 g/cm3
Formation energy without anion corrections: 0.59 eV/atom


No. 7
A geometry-optimized CdReTe2 structure, computed with PBE.

a = 10.312 Å, b = 10.312 Å, c = 10.312 Å
α = 18.89°, β = 18.89°, γ = 18.89°
Fractional positions:
Re1 0.750 0.750 0.750
Te1 0.020 0.020 0.020
Te2 0.480 0.480 0.480
Cd1 0.250 0.250 0.250

SG: R-3m (166)
Calculated density: 9.2 g/cm3
Formation energy without anion corrections: 0.29 eV/atom


No. 8
A geometry-optimized CdReTe2 structure, computed with PBE.

a = 3.638 Å, b = 5.119 Å, c = 4.736 Å
α = 90.00°, β = 90.00°, γ = 90.00°
Site moments in Bohr magnetons follow the coordinates.
Fractional positions:
Re1 0.000 0.500 0.500  0.41
Te1 0.000 0.000 0.000  0.00
Te2 0.500 0.500 0.000  0.00
Cd1 0.500 0.000 0.500  -0.01

SG: Pmmm (47)
Calculated density: 10.4 g/cm3
Formation energy without anion corrections: 1.01 eV/atom


No. 9
A geometry-optimized Cd2Re2Te structure, computed with PBE.

a = 3.957 Å, b = 3.957 Å, c = 7.197 Å
α = 74.04°, β = 74.04°, γ = 90.00°
Fractional positions:
Re1 0.413 0.413 0.174
Re2 0.587 0.587 0.826
Te1 0.000 0.000 0.000
Cd1 0.750 0.250 0.500
Cd2 0.250 0.750 0.500

SG: I4/mmm (139)
Calculated density: 11.6 g/cm3
Formation energy without anion corrections: 1.03 eV/atom
Distance to the lowest polymorph of the same formula: 258 meV/atom


No. 10
A geometry-optimized CdReTe2 structure, computed with PBE.

a = 3.138 Å, b = 3.138 Å, c = 11.015 Å
α = 90.00°, β = 90.00°, γ = 116.62°
Fractional positions:
Re1 0.500 0.500 0.750
Te1 0.000 0.000 0.949
Te2 0.000 0.000 0.551
Cd1 0.500 0.500 0.250

SG: Cmmm (65)
Calculated density: 9.5 g/cm3
Formation energy without anion corrections: 0.57 eV/atom


No. 11
A geometry-optimized CdReTe2 structure, computed with PBE.

a = 10.943 Å, b = 10.943 Å, c = 10.943 Å
α = 17.05°, β = 17.05°, γ = 17.05°
Fractional positions:
Re1 0.749 0.749 0.749
Te1 0.025 0.025 0.025
Te2 0.240 0.240 0.240
Cd1 0.485 0.485 0.485

SG: R3m (160)
Calculated density: 9.4 g/cm3
Formation energy without anion corrections: 0.34 eV/atom


No. 12
A geometry-optimized CdReTe2 structure, computed with PBE.

a = 6.527 Å, b = 6.527 Å, c = 2.898 Å
α = 69.67°, β = 69.67°, γ = 109.90°
Fractional positions:
Re1 0.000 0.500 0.500
Te1 0.000 0.000 0.000
Te2 0.500 0.500 0.000
Cd1 0.500 0.000 0.500

SG: C2/m (12)
Calculated density: 9.9 g/cm3
Formation energy without anion corrections: 0.92 eV/atom


No. 13
A geometry-optimized Cd2ReTe structure, computed with PBE.

a = 10.949 Å, b = 10.949 Å, c = 10.949 Å
α = 16.77°, β = 16.77°, γ = 16.77°
Fractional positions:
Re1 0.499 0.499 0.499
Te1 0.775 0.775 0.775
Cd1 0.990 0.990 0.990
Cd2 0.236 0.236 0.236

SG: R3m (160)
Calculated density: 9.4 g/cm3
Formation energy without anion corrections: 0.37 eV/atom


No. 14
A geometry-optimized CdReTe2 structure, computed with PBE.

a = 7.510 Å, b = 7.510 Å, c = 7.510 Å
α = 155.15°, β = 146.17°, γ = 42.43°
Fractional positions:
Re1 0.221 0.721 0.500
Te1 0.069 0.069 0.000
Te2 0.777 0.277 0.500
Cd1 0.433 0.433 0.000

SG: Imm2 (44)
Calculated density: 9.3 g/cm3
Formation energy without anion corrections: 0.46 eV/atom


No. 15
A geometry-optimized CdReTe2 structure, computed with PBE.

a = 7.079 Å, b = 7.079 Å, c = 7.079 Å
α = 153.52°, β = 140.30°, γ = 48.36°
Fractional positions:
Re1 0.250 0.750 0.500
Te1 0.081 0.081 0.000
Te2 0.419 0.419 0.000
Cd1 0.750 0.250 0.500

SG: Immm (71)
Calculated density: 9.1 g/cm3
Formation energy without anion corrections: 0.33 eV/atom